#one
# Na3CrSi SCAN single point on PBEsol structure
# crystal system: cubic
data_Na3CrSi
_space_group_name_H-M_alt 'P 1'
_space_group_IT_number 1
_cell_length_a 5.4886
_cell_length_b 5.4886
_cell_length_c 5.4886
_cell_angle_alpha 90.00
_cell_angle_beta 90.00
_cell_angle_gamma 90.00
loop_
_space_group_symop_operation_xyz
'x,y,z'
loop_
_atom_site_label
_atom_site_type_symbol
_atom_site_fract_x
_atom_site_fract_y
_atom_site_fract_z
Na1 Na 0.5000 0.0000 0.0000
Na2 Na 0.0000 0.5000 0.0000
Na3 Na 0.0000 0.0000 0.5000
Cr1 Cr 0.5000 0.5000 0.5000
Si1 Si 0.0000 0.0000 0.0000



#two
# Na3CrSi SCAN single point on PBEsol structure
# crystal system: cubic
data_Na3CrSi
_space_group_name_H-M_alt 'P 1'
_space_group_IT_number 1
_cell_length_a 5.4452
_cell_length_b 5.4452
_cell_length_c 5.4452
_cell_angle_alpha 90.00
_cell_angle_beta 90.00
_cell_angle_gamma 90.00
loop_
_space_group_symop_operation_xyz
'x,y,z'
loop_
_atom_site_label
_atom_site_type_symbol
_atom_site_fract_x
_atom_site_fract_y
_atom_site_fract_z
Na1 Na 0.5000 0.0000 0.0000
Na2 Na 0.0000 0.0000 0.5000
Na3 Na 0.0000 0.5000 0.0000
Si1 Si 0.5000 0.5000 0.5000
Cr1 Cr 0.0000 0.0000 0.0000



#one is the most stable structure; the next one sits 324 meV per atom above it.